# 1
Material: AlCdPCl2
Method: DFT, PBE-GGA
State: relaxed

Cell: 4.596 4.596 5.143 Å, 90.00 90.00 90.00°
Positions (direct):
P  0.000  0.000  0.500
Cl  0.000  0.500  0.000
Cl  0.500  0.000  0.000
Al  0.000  0.000  0.000
Cd  0.500  0.500  0.500

Properties
total DFT energy (no corrections): -3.0895 eV per atom
magnetization: 0.0 μB/cell
Fermi-level density of states: 1.50 states/eV/f.u.
SG: P4/mmm (123)
calculated volume: 109 Å³ per cell

=====

# 2
Material: NpAgAsO
Method: DFT, PBE-GGA
State: relaxed

Cell: 3.949 3.949 8.963 Å, 90.00 90.00 90.00°
Last column: magnetic moment on the atom in μB.
Positions (direct):
Np  0.000  0.500  0.864  3.40
Np  0.500  0.000  0.136  3.40
Ag  0.000  0.000  0.500  -0.04
Ag  0.500  0.500  0.500  -0.04
As  0.500  0.000  0.712  -0.14
As  0.000  0.500  0.288  -0.14
O  0.500  0.500  0.000  -0.12
O  0.000  0.000  0.000  -0.12

Properties
total DFT energy (no corrections): -7.6909 eV per atom
magnetization: 6.2 μB/cell
Fermi-level density of states: 7.92 states/eV/f.u.
SG: P4/nmm (129)
calculated volume: 140 Å³ per cell

=====

The highest Fermi-level density of states belongs to which entry?
NpAgAsO